# 1
Below is crystalline LaIn2Rh at its relaxed geometry, with properties calculated at the PBE-GGA level.

* electronic total energy: -59.7 eV/cell
* N(E_F): 5.7 states/eV/cell

Unit cell a=4.8343 b=4.8343 c=14.9537 alpha=90.00 beta=90.00 gamma=120.00
Space group R3m (No. 160, hexagonal axes)
Unique sites:
La  0.0000  0.0000  0.0000 [3 per cell]
In  0.0000  0.0000  0.2165 [3 per cell]
In  0.0000  0.0000  0.4580 [3 per cell]
Rh  0.0000  0.0000  0.8217 [3 per cell]

# 2
Below is crystalline Tl7Bi2Pb2 at its relaxed geometry, with properties calculated at the PBE-GGA level.

* energy above the most stable polymorph in this dataset: 0 meV per atom
* N(E_F): 9.5 states/eV/cell

Unit cell a=5.505 b=16.784 c=7.951 alpha=90.00 beta=90.00 gamma=90.00
Space group Imm2 (No. 44)
Unique sites:
Tl  0.000  0.000  0.000 [2 per cell]
Tl  0.000  0.169  0.732 [4 per cell]
Tl  0.000  0.342  0.490 [4 per cell]
Tl  0.000  0.342  0.975 [4 per cell]
Bi  0.000  0.170  0.237 [4 per cell]
Pb  0.000  0.000  0.466 [2 per cell]
Pb  0.000  0.500  0.223 [2 per cell]

# 3
Below is crystalline AcTbPm2 at its relaxed geometry, with properties calculated at the PBE-GGA level.

* energy above the most stable polymorph in this dataset: 11 meV per atom
* N(E_F): 17.5 states/eV/cell

Unit cell a=3.7301 b=3.7301 c=36.1591 alpha=90.00 beta=90.00 gamma=120.00
Space group R-3m (No. 166, hexagonal axes)
Unique sites:
Ac  0.0000  0.0000  0.0000 [3 per cell]
Tb  0.0000  0.0000  0.5000 [3 per cell]
Pm  0.0000  0.0000  0.2468 [6 per cell]